No. 1
This record from Alexandria via LeMat-Bulk describes BaAgO3 after structural relaxation. The functional is PBE.

Calculated values
The calculation puts the formation energy without anion corrections at 0.072 eV/atom. The total energy is -19.29 eV per cell.

Cell lengths 4.485, 4.485, 4.485 Å; angles 90.00, 90.00, 90.00 degrees
Atoms (fractional coordinates):
Ba 0.000 0.000 0.000
Ag 0.500 0.500 0.500
O 0.000 0.000 0.500
O 0.000 0.500 0.000
O 0.500 0.000 0.000

---

No. 2
This record from Alexandria via LeMat-Bulk describes Ta7Mo after structural relaxation. The functional is PBE.

Calculated values
The calculated formation energy comes out at -0.0383 eV per atom. The total energy is -94.11 eV per cell.

Cell lengths 4.644, 4.644, 6.631 Å; angles 90.00, 90.00, 90.00 degrees
Atoms (fractional coordinates):
Ta 0.000 0.000 0.000
Ta 0.000 0.000 0.500
Ta 0.000 0.500 0.245
Ta 0.000 0.500 0.755
Ta 0.500 0.000 0.245
Ta 0.500 0.000 0.755
Ta 0.500 0.500 0.500
Mo 0.500 0.500 0.000

---

No. 3
This record from Alexandria via LeMat-Bulk describes ScFe2Ir after structural relaxation. The functional is PBE.

Calculated values
The calculated formation energy comes out at -0.2012 eV per atom. The total energy is -32.92 eV per cell.

Cell lengths 5.081, 5.081, 5.081 Å; angles 144.61, 129.77, 62.94 degrees
Atoms (fractional coordinates):
Sc 0.000 0.000 0.000
Fe 0.264 0.764 0.500
Fe 0.493 0.493 0.000
Ir 0.738 0.238 0.500

---

No. 4
This record from Alexandria via LeMat-Bulk describes BN after structural relaxation. The functional is PBE.

Calculated values
The calculation puts the formation energy without anion corrections at 1.276 eV/atom. The total energy is -24.90 eV per cell.

Cell lengths 2.482, 2.482, 4.449 Å; angles 90.00, 90.00, 120.00 degrees
Atoms (fractional coordinates):
B 0.333 0.667 0.250
B 0.667 0.333 0.750
N 0.000 0.000 0.000
N 0.000 0.000 0.500

---

No. 5
This record from Alexandria via LeMat-Bulk describes NbZnI2 after structural relaxation. The functional is PBE.

Calculated values
The calculation puts the formation energy without anion corrections at 0.489 eV/atom. The total energy is -12.49 eV per cell.

Cell lengths 5.053, 5.053, 5.053 Å; angles 60.00, 60.00, 60.00 degrees
Atoms (fractional coordinates):
Nb 0.000 0.000 0.000
Zn 0.500 0.500 0.500
I 0.250 0.250 0.250
I 0.750 0.750 0.750

---

No. 6
This record from Alexandria via LeMat-Bulk describes DyPuTh2Sb4 after structural relaxation. The functional is PBE.

Calculated values
The calculation puts the formation energy without anion corrections at -0.918 eV/atom. The total energy is -57.61 eV per cell.

Cell lengths 7.698, 4.477, 7.741 Å; angles 90.00, 109.63, 90.00 degrees
Atoms (fractional coordinates):
Dy 0.000 0.000 0.000
Pu 0.000 0.500 0.500
Th 0.500 0.000 0.500
Th 0.500 0.500 0.000
Sb 0.243 0.000 0.749
Sb 0.243 0.500 0.246
Sb 0.757 0.000 0.251
Sb 0.757 0.500 0.754

---

No. 7
This record from Alexandria via LeMat-Bulk describes Ba2PdAu after structural relaxation. The functional is PBE.

Calculated values
The calculated formation energy comes out at -0.3613 eV per atom. The total energy is -27.52 eV per cell.

Cell lengths 7.288, 7.288, 7.288 Å; angles 108.74, 108.74, 110.95 degrees
Atoms (fractional coordinates):
Ba 0.110 0.625 0.985
Ba 0.375 0.360 0.485
Ba 0.640 0.125 0.015
Ba 0.875 0.890 0.515
Pd 0.000 0.000 0.000
Pd 0.750 0.250 0.500
Au 0.250 0.750 0.500
Au 0.500 0.500 0.000

---

No. 8
This record from Alexandria via LeMat-Bulk describes Sr2LaPt after structural relaxation. The functional is PBE.

Calculated values
The calculated formation energy comes out at -0.3341 eV per atom. The total energy is -31.34 eV per cell.

Cell lengths 8.260, 8.260, 8.260 Å; angles 96.58, 96.58, 140.43 degrees
Atoms (fractional coordinates):
Sr 0.375 0.242 0.367
Sr 0.758 0.125 0.133
Sr 0.875 0.008 0.633
Sr 0.992 0.625 0.867
La 0.250 0.750 0.500
La 0.500 0.500 0.000
Pt 0.000 0.000 0.000
Pt 0.750 0.250 0.500

---

No. 9
This record from Alexandria via LeMat-Bulk describes BaInHg2Pb2 after structural relaxation. The functional is PBE.

Calculated values
The calculated formation energy comes out at -0.2519 eV per atom. The total energy is -14.19 eV per cell.

Cell lengths 5.300, 5.300, 7.820 Å; angles 90.00, 90.00, 120.00 degrees
Atoms (fractional coordinates):
Ba 0.000 0.000 0.000
In 0.000 0.000 0.500
Hg 0.333 0.667 0.219
Hg 0.667 0.333 0.781
Pb 0.333 0.667 0.651
Pb 0.667 0.333 0.349

---

No. 10
This record from Alexandria via LeMat-Bulk describes AcHo2IO8 after structural relaxation. The functional is PBE.

Calculated values
The calculation puts the formation energy without anion corrections at -2.302 eV/atom. The total energy is -82.10 eV per cell.

Cell lengths 5.074, 7.119, 5.078 Å; angles 90.00, 91.40, 90.00 degrees
Atoms (fractional coordinates):
Ac 0.000 0.000 0.000
Ho 0.500 0.250 0.500
Ho 0.500 0.750 0.500
I 0.000 0.500 0.000
O 0.186 0.306 0.187
O 0.186 0.694 0.187
O 0.264 0.500 0.738
O 0.326 0.000 0.676
O 0.674 0.000 0.324
O 0.736 0.500 0.262
O 0.814 0.306 0.813
O 0.814 0.694 0.813

---

No. 11
This record from Alexandria via LeMat-Bulk describes Tb4Er2Mg after structural relaxation. The functional is PBE.

Calculated values
The calculated formation energy comes out at 0.1344 eV per atom. The total energy is -28.30 eV per cell.

Cell lengths 5.884, 3.604, 10.728 Å; angles 90.00, 99.33, 90.00 degrees
Atoms (fractional coordinates):
Tb 0.055 0.000 0.203
Tb 0.428 0.500 0.750
Tb 0.572 0.500 0.250
Tb 0.945 0.000 0.797
Er 0.000 0.500 0.500
Er 0.500 0.000 0.500
Mg 0.500 0.000 0.000

---

No. 12
This record from Alexandria via LeMat-Bulk describes Y2Cd16Hg after structural relaxation. The functional is PBE.

Calculated values
The calculated formation energy comes out at -0.1082 eV per atom. The total energy is -29.93 eV per cell.

Cell lengths 7.662, 7.662, 7.662 Å; angles 82.26, 82.26, 82.26 degrees
Atoms (fractional coordinates):
Y 0.000 0.000 0.000
Y 0.344 0.344 0.344
Cd 0.020 0.020 0.548
Cd 0.020 0.548 0.020
Cd 0.208 0.648 0.648
Cd 0.299 0.299 0.888
Cd 0.299 0.888 0.299
Cd 0.368 0.677 0.980
Cd 0.368 0.980 0.677
Cd 0.548 0.020 0.020
Cd 0.591 0.591 0.591
Cd 0.648 0.208 0.648
Cd 0.648 0.648 0.208
Cd 0.677 0.368 0.980
Cd 0.677 0.980 0.368
Cd 0.888 0.299 0.299
Cd 0.980 0.368 0.677
Cd 0.980 0.677 0.368
Hg 0.787 0.787 0.787